Record 1
# Ca2La4N (PBE, relaxed)
# Size of the total moment, Bohr magnetons per cell: 0.00
# Formation energy from raw total energies, meV per atom: -251
data_Ca2La4N
_chemical_formula_sum 'Ca2 La4 N1'
_cell_length_a 5.258
_cell_length_b 5.258
_cell_length_c 9.872
_cell_angle_alpha 74.56
_cell_angle_beta 74.56
_cell_angle_gamma 90.00
_symmetry_space_group_name_H-M 'P 1'
_symmetry_Int_Tables_number 1
loop_
_symmetry_equiv_pos_as_xyz
'x,y,z'
loop_
_atom_site_label
_atom_site_type_symbol
_atom_site_fract_x
_atom_site_fract_y
_atom_site_fract_z
N1 N 0.000 0.000 0.000
La1 La 0.000 0.500 0.000
La2 La 0.128 0.128 0.743
La3 La 0.500 0.000 0.000
La4 La 0.872 0.872 0.257
Ca1 Ca 0.662 0.662 0.676
Ca2 Ca 0.338 0.338 0.324

***

Record 2
# Ca7LaN3 (PBE, relaxed)
# Size of the total moment, Bohr magnetons per cell: 0.00
# Formation energy from raw total energies, meV per atom: -621
data_Ca7LaN3
_chemical_formula_sum 'Ca7 La1 N3'
_cell_length_a 6.359
_cell_length_b 7.333
_cell_length_c 7.333
_cell_angle_alpha 120.00
_cell_angle_beta 90.00
_cell_angle_gamma 90.00
_symmetry_space_group_name_H-M 'P 1'
_symmetry_Int_Tables_number 1
loop_
_symmetry_equiv_pos_as_xyz
'x,y,z'
loop_
_atom_site_label
_atom_site_type_symbol
_atom_site_fract_x
_atom_site_fract_y
_atom_site_fract_z
Ca1 Ca 0.566 0.825 0.175
Ca2 Ca 0.566 0.825 0.649
Ca3 Ca 0.008 0.174 0.347
Ca4 Ca 0.566 0.351 0.175
Ca5 Ca 0.008 0.653 0.826
Ca6 Ca 0.008 0.174 0.826
Ca7 Ca 0.994 0.667 0.333
N1 N 0.774 0.496 0.504
N2 N 0.774 0.496 0.992
N3 N 0.774 0.008 0.504
La1 La 0.576 0.333 0.667

***

Record 3
# NaCa2LaN (PBE, relaxed)
# Size of the total moment, Bohr magnetons per cell: 0.00
# Excess energy over the best structure of this formula in the dataset, meV/atom: 0
# Formation energy from raw total energies, meV per atom: -353
data_NaCa2LaN
_chemical_formula_sum 'Na1 Ca2 La1 N1'
_cell_length_a 5.299
_cell_length_b 5.299
_cell_length_c 4.997
_cell_angle_alpha 90.00
_cell_angle_beta 90.00
_cell_angle_gamma 90.00
_symmetry_space_group_name_H-M 'P 1'
_symmetry_Int_Tables_number 1
loop_
_symmetry_equiv_pos_as_xyz
'x,y,z'
loop_
_atom_site_label
_atom_site_type_symbol
_atom_site_fract_x
_atom_site_fract_y
_atom_site_fract_z
La1 La 0.000 0.000 0.500
Ca1 Ca 0.500 0.000 0.000
Ca2 Ca 0.000 0.500 0.000
Na1 Na 0.500 0.500 0.500
N1 N 0.000 0.000 0.000

***

Record 4
# NaCa2LaN (PBE, relaxed)
# Size of the total moment, Bohr magnetons per cell: 0.00
# Excess energy over the best structure of this formula in the dataset, meV/atom: 433
# Formation energy from raw total energies, meV per atom: 80
data_NaCa2LaN
_chemical_formula_sum 'Na1 Ca2 La1 N1'
_cell_length_a 4.925
_cell_length_b 4.925
_cell_length_c 5.769
_cell_angle_alpha 90.00
_cell_angle_beta 90.00
_cell_angle_gamma 90.00
_symmetry_space_group_name_H-M 'P 1'
_symmetry_Int_Tables_number 1
loop_
_symmetry_equiv_pos_as_xyz
'x,y,z'
loop_
_atom_site_label
_atom_site_type_symbol
_atom_site_fract_x
_atom_site_fract_y
_atom_site_fract_z
La1 La 0.500 0.500 0.500
N1 N 0.000 0.000 0.000
Ca1 Ca 0.500 0.000 0.000
Ca2 Ca 0.000 0.500 0.000
Na1 Na 0.000 0.000 0.500

***

Record 5
# Ca2LaNbN (PBE, relaxed)
# Size of the total moment, Bohr magnetons per cell: 1.09
# Formation energy from raw total energies, meV per atom: -17
data_Ca2LaNbN
_chemical_formula_sum 'Ca2 La1 Nb1 N1'
_cell_length_a 5.330
_cell_length_b 4.229
_cell_length_c 5.330
_cell_angle_alpha 90.00
_cell_angle_beta 90.00
_cell_angle_gamma 90.00
_symmetry_space_group_name_H-M 'P 1'
_symmetry_Int_Tables_number 1
loop_
_symmetry_equiv_pos_as_xyz
'x,y,z'
loop_
_atom_site_label
_atom_site_type_symbol
_atom_site_fract_x
_atom_site_fract_y
_atom_site_fract_z
Nb1 Nb 0.000 0.500 0.000
La1 La 0.500 0.500 0.500
Ca1 Ca 0.500 0.000 0.000
Ca2 Ca 0.000 0.000 0.500
N1 N 0.000 0.000 0.000

***

Record 6
# Ca3LaNp2N6 (PBE, relaxed)
# Size of the total moment, Bohr magnetons per cell: 5.00
# Formation energy from raw total energies, meV per atom: -1172
data_Ca3LaNp2N6
_chemical_formula_sum 'Ca3 La1 Np2 N6'
_cell_length_a 3.547
_cell_length_b 7.074
_cell_length_c 7.888
_cell_angle_alpha 102.16
_cell_angle_beta 102.99
_cell_angle_gamma 90.00
_symmetry_space_group_name_H-M 'P 1'
_symmetry_Int_Tables_number 1
loop_
_symmetry_equiv_pos_as_xyz
'x,y,z'
loop_
_atom_site_label
_atom_site_type_symbol
_atom_site_fract_x
_atom_site_fract_y
_atom_site_fract_z
Np1 Np 0.832 0.664 0.664
Np2 Np 0.168 0.336 0.336
N1 N 0.669 0.118 0.337
N2 N 0.321 0.429 0.642
N3 N 0.023 0.265 0.046
N4 N 0.679 0.571 0.358
N5 N 0.977 0.735 0.954
N6 N 0.331 0.882 0.663
Ca1 Ca 0.500 0.500 0.000
Ca2 Ca 0.170 0.834 0.340
Ca3 Ca 0.830 0.166 0.660
La1 La 0.500 0.000 0.000

***

Record 7
# CaLa3Np2N6 (PBE, relaxed)
# Size of the total moment, Bohr magnetons per cell: 5.31
# Formation energy from raw total energies, meV per atom: -1221
data_CaLa3Np2N6
_chemical_formula_sum 'Ca1 La3 Np2 N6'
_cell_length_a 3.590
_cell_length_b 7.238
_cell_length_c 7.995
_cell_angle_alpha 104.50
_cell_angle_beta 102.97
_cell_angle_gamma 90.00
_symmetry_space_group_name_H-M 'P 1'
_symmetry_Int_Tables_number 1
loop_
_symmetry_equiv_pos_as_xyz
'x,y,z'
loop_
_atom_site_label
_atom_site_type_symbol
_atom_site_fract_x
_atom_site_fract_y
_atom_site_fract_z
N1 N 0.976 0.737 0.951
N2 N 0.024 0.263 0.049
N3 N 0.668 0.112 0.337
N4 N 0.678 0.563 0.355
N5 N 0.332 0.888 0.663
N6 N 0.322 0.437 0.645
Ca1 Ca 0.500 0.000 0.000
Np1 Np 0.833 0.670 0.666
Np2 Np 0.167 0.330 0.334
La1 La 0.166 0.835 0.331
La2 La 0.834 0.165 0.669
La3 La 0.500 0.500 0.000

***

Record 8
# CaLa2NpN4 (PBE, relaxed)
# Size of the total moment, Bohr magnetons per cell: 2.55
# Formation energy from raw total energies, meV per atom: -1220
data_CaLa2NpN4
_chemical_formula_sum 'Ca1 La2 Np1 N4'
_cell_length_a 5.084
_cell_length_b 5.084
_cell_length_c 6.338
_cell_angle_alpha 113.65
_cell_angle_beta 113.65
_cell_angle_gamma 89.99
_symmetry_space_group_name_H-M 'P 1'
_symmetry_Int_Tables_number 1
loop_
_symmetry_equiv_pos_as_xyz
'x,y,z'
loop_
_atom_site_label
_atom_site_type_symbol
_atom_site_fract_x
_atom_site_fract_y
_atom_site_fract_z
N1 N 0.138 0.138 0.414
N2 N 0.466 0.940 0.000
N3 N 0.725 0.725 0.586
N4 N 0.940 0.466 0.000
Ca1 Ca 0.436 0.436 0.000
Np1 Np 0.927 0.927 0.000
La1 La 0.683 0.183 0.500
La2 La 0.183 0.683 0.500

***

Record 9
# CaLaN2O (PBE, relaxed)
# Size of the total moment, Bohr magnetons per cell: 0.76
# Formation energy from raw total energies, meV per atom: -323
data_CaLaN2O
_chemical_formula_sum 'Ca1 La1 N2 O1'
_cell_length_a 4.245
_cell_length_b 4.245
_cell_length_c 4.324
_cell_angle_alpha 90.00
_cell_angle_beta 90.00
_cell_angle_gamma 90.00
_symmetry_space_group_name_H-M 'P 1'
_symmetry_Int_Tables_number 1
loop_
_symmetry_equiv_pos_as_xyz
'x,y,z'
loop_
_atom_site_label
_atom_site_type_symbol
_atom_site_fract_x
_atom_site_fract_y
_atom_site_fract_z
Ca1 Ca 0.000 0.000 0.000
O1 O 0.000 0.000 0.500
N1 N 0.000 0.500 0.000
N2 N 0.500 0.000 0.000
La1 La 0.500 0.500 0.500

***

Record 10
# CaLaN2O (PBE, relaxed)
# Size of the total moment, Bohr magnetons per cell: 0.00
# Formation energy from raw total energies, meV per atom: -435
data_CaLaN2O
_chemical_formula_sum 'Ca1 La1 N2 O1'
_cell_length_a 4.362
_cell_length_b 4.362
_cell_length_c 4.527
_cell_angle_alpha 90.00
_cell_angle_beta 90.00
_cell_angle_gamma 90.00
_symmetry_space_group_name_H-M 'P 1'
_symmetry_Int_Tables_number 1
loop_
_symmetry_equiv_pos_as_xyz
'x,y,z'
loop_
_atom_site_label
_atom_site_type_symbol
_atom_site_fract_x
_atom_site_fract_y
_atom_site_fract_z
La1 La 0.000 0.000 0.000
N1 N 0.500 0.000 0.000
N2 N 0.000 0.500 0.000
Ca1 Ca 0.500 0.500 0.500
O1 O 0.000 0.000 0.500

***

Record 11
# Ca3LaP2N (PBE, relaxed)
# Size of the total moment, Bohr magnetons per cell: 0.00
# Formation energy from raw total energies, meV per atom: -1147
data_Ca3LaP2N
_chemical_formula_sum 'Ca3 La1 P2 N1'
_cell_length_a 4.814
_cell_length_b 4.675
_cell_length_c 8.220
_cell_angle_alpha 106.52
_cell_angle_beta 107.03
_cell_angle_gamma 90.00
_symmetry_space_group_name_H-M 'P 1'
_symmetry_Int_Tables_number 1
loop_
_symmetry_equiv_pos_as_xyz
'x,y,z'
loop_
_atom_site_label
_atom_site_type_symbol
_atom_site_fract_x
_atom_site_fract_y
_atom_site_fract_z
Ca1 Ca 0.826 0.826 0.652
Ca2 Ca 0.000 0.500 0.000
Ca3 Ca 0.174 0.174 0.348
N1 N 0.000 0.000 0.000
La1 La 0.500 0.000 0.000
P1 P 0.364 0.364 0.727
P2 P 0.636 0.636 0.273

***

Record 12
# Ca4LaPa3N8 (PBE, relaxed)
# Size of the total moment, Bohr magnetons per cell: 0.00
# Formation energy from raw total energies, meV per atom: -1419
data_Ca4LaPa3N8
_chemical_formula_sum 'Ca4 La1 Pa3 N8'
_cell_length_a 7.191
_cell_length_b 7.057
_cell_length_c 7.191
_cell_angle_alpha 120.63
_cell_angle_beta 120.00
_cell_angle_gamma 90.00
_symmetry_space_group_name_H-M 'P 1'
_symmetry_Int_Tables_number 1
loop_
_symmetry_equiv_pos_as_xyz
'x,y,z'
loop_
_atom_site_label
_atom_site_type_symbol
_atom_site_fract_x
_atom_site_fract_y
_atom_site_fract_z
Ca1 Ca 0.000 0.000 0.000
Ca2 Ca 0.000 0.000 0.500
Ca3 Ca 0.500 0.000 0.500
Ca4 Ca 0.500 0.000 0.000
N1 N 0.251 0.715 0.964
N2 N 0.713 0.715 0.964
N3 N 0.261 0.283 0.522
N4 N 0.739 0.717 0.478
N5 N 0.749 0.285 0.498
N6 N 0.749 0.285 0.036
N7 N 0.287 0.285 0.036
N8 N 0.251 0.715 0.502
La1 La 0.000 0.500 0.000
Pa1 Pa 0.500 0.500 0.000
Pa2 Pa 0.000 0.500 0.500
Pa3 Pa 0.500 0.500 0.500

***

Q: Look up the formation energy from raw total energies of the ninth one.
A: -323 meV per atom

***

Please write out number 1 again, unchanged.
# Ca2La4N (PBE, relaxed)
# Size of the total moment, Bohr magnetons per cell: 0.00
# Formation energy from raw total energies, meV per atom: -251
data_Ca2La4N
_chemical_formula_sum 'Ca2 La4 N1'
_cell_length_a 5.258
_cell_length_b 5.258
_cell_length_c 9.872
_cell_angle_alpha 74.56
_cell_angle_beta 74.56
_cell_angle_gamma 90.00
_symmetry_space_group_name_H-M 'P 1'
_symmetry_Int_Tables_number 1
loop_
_symmetry_equiv_pos_as_xyz
'x,y,z'
loop_
_atom_site_label
_atom_site_type_symbol
_atom_site_fract_x
_atom_site_fract_y
_atom_site_fract_z
N1 N 0.000 0.000 0.000
La1 La 0.000 0.500 0.000
La2 La 0.128 0.128 0.743
La3 La 0.500 0.000 0.000
La4 La 0.872 0.872 0.257
Ca1 Ca 0.662 0.662 0.676
Ca2 Ca 0.338 0.338 0.324

***

Q: What is the formation energy from raw total energies in the fifth record?
A: -17 meV per atom